The following is a PBE calculation of a relaxed structure of Nd2AlI, from Alexandria via LeMat-Bulk.

Lattice parameters (Å, degrees): 4.353 4.353 8.174 74.56 74.56 60.00
Positions (direct):
Nd 0.740 0.740 0.779
Nd 0.260 0.260 0.221
I 0.500 0.500 0.500
Al 0.000 0.000 0.000

The calculation puts the uncorrected formation energy at -0.573 eV/atom. The total magnetization is 0.00 μB/f.u. The calculation puts the density of states at the Fermi level at 2.12 states/eV/cell.